(1)
Here is a relaxed PmTi2W crystal from Alexandria via LeMat-Bulk. Energies are from PBE-GGA.

The volume comes out at 82.02 Å³/cell. Its space-group type is P4/mmm (123). The value obtained for the density of states at the Fermi level is 5.07 states/eV per cell. As for the formation enthalpy at 0 K: 144 meV per atom.

```
data_PmTi2W
_space_group_name_H-M_alt 'P 1'
_space_group_IT_number 1
_cell_length_a 3.270
_cell_length_b 3.270
_cell_length_c 7.671
_cell_angle_alpha 90.00
_cell_angle_beta 90.00
_cell_angle_gamma 90.00
loop_
_space_group_symop_operation_xyz
'x,y,z'
loop_
_atom_site_label
_atom_site_type_symbol
_atom_site_fract_x
_atom_site_fract_y
_atom_site_fract_z
Pm1 Pm 0.000 0.000 0.000
Ti1 Ti 0.500 0.500 0.313
Ti2 Ti 0.500 0.500 0.687
W1 W 0.000 0.000 0.500
```



(2)
Here is a relaxed Pm2YTi crystal from Alexandria via LeMat-Bulk. Energies are from PBE-GGA.

The volume comes out at 119.10 Å³/cell. For the energy above the most stable polymorph in this dataset, the calculation gives 254 meV/atom. Its space-group type is R-3m (166). The value obtained for the density of states at the Fermi level is 6.89 states/eV per cell. As for the formation enthalpy at 0 K: 454 meV per atom.

```
data_Pm2YTi
_space_group_name_H-M_alt 'P 1'
_space_group_IT_number 1
_cell_length_a 12.059
_cell_length_b 12.059
_cell_length_c 12.059
_cell_angle_alpha 16.21
_cell_angle_beta 16.21
_cell_angle_gamma 16.21
loop_
_space_group_symop_operation_xyz
'x,y,z'
loop_
_atom_site_label
_atom_site_type_symbol
_atom_site_fract_x
_atom_site_fract_y
_atom_site_fract_z
Pm1 Pm 0.083 0.083 0.083
Pm2 Pm 0.917 0.917 0.917
Y1 Y 0.500 0.500 0.500
Ti1 Ti 0.000 0.000 0.000
```



(3)
Here is a relaxed PmY2Ti crystal from Alexandria via LeMat-Bulk. Energies are from PBE-GGA.

The volume comes out at 116.21 Å³/cell. Its space-group type is Fm-3m (225). The value obtained for the density of states at the Fermi level is 7.24 states/eV per cell. As for the formation enthalpy at 0 K: 289 meV per atom.

```
data_PmY2Ti
_space_group_name_H-M_alt 'P 1'
_space_group_IT_number 1
_cell_length_a 5.478
_cell_length_b 5.478
_cell_length_c 5.478
_cell_angle_alpha 60.00
_cell_angle_beta 60.00
_cell_angle_gamma 60.00
loop_
_space_group_symop_operation_xyz
'x,y,z'
loop_
_atom_site_label
_atom_site_type_symbol
_atom_site_fract_x
_atom_site_fract_y
_atom_site_fract_z
Pm1 Pm 0.000 0.000 0.000
Y1 Y 0.250 0.250 0.250
Y2 Y 0.750 0.750 0.750
Ti1 Ti 0.500 0.500 0.500
```



(4)
Here is a relaxed Pm2YTi crystal from Alexandria via LeMat-Bulk. Energies are from PBE-GGA.

The volume comes out at 118.21 Å³/cell. For the energy above the most stable polymorph in this dataset, the calculation gives 0 meV/atom. Its space-group type is P4/mmm (123). The value obtained for the density of states at the Fermi level is 6.69 states/eV per cell. As for the formation enthalpy at 0 K: 200 meV per atom.

```
data_Pm2YTi
_space_group_name_H-M_alt 'P 1'
_space_group_IT_number 1
_cell_length_a 3.686
_cell_length_b 3.686
_cell_length_c 8.703
_cell_angle_alpha 90.00
_cell_angle_beta 90.00
_cell_angle_gamma 90.00
loop_
_space_group_symop_operation_xyz
'x,y,z'
loop_
_atom_site_label
_atom_site_type_symbol
_atom_site_fract_x
_atom_site_fract_y
_atom_site_fract_z
Pm1 Pm 0.000 0.000 0.213
Pm2 Pm 0.000 0.000 0.787
Y1 Y 0.500 0.500 0.500
Ti1 Ti 0.500 0.500 0.000
```



(5)
Here is a relaxed Pm2TiZn crystal from Alexandria via LeMat-Bulk. Energies are from PBE-GGA.

The volume comes out at 98.87 Å³/cell. For the energy above the most stable polymorph in this dataset, the calculation gives 29 meV/atom. Its space-group type is P4/mmm (123). The value obtained for the density of states at the Fermi level is 5.89 states/eV per cell. As for the formation enthalpy at 0 K: 57 meV per atom.

```
data_Pm2TiZn
_space_group_name_H-M_alt 'P 1'
_space_group_IT_number 1
_cell_length_a 5.343
_cell_length_b 5.343
_cell_length_c 3.463
_cell_angle_alpha 90.00
_cell_angle_beta 90.00
_cell_angle_gamma 90.00
loop_
_space_group_symop_operation_xyz
'x,y,z'
loop_
_atom_site_label
_atom_site_type_symbol
_atom_site_fract_x
_atom_site_fract_y
_atom_site_fract_z
Pm1 Pm 0.000 0.500 0.000
Pm2 Pm 0.500 0.000 0.000
Ti1 Ti 0.000 0.000 0.500
Zn1 Zn 0.500 0.500 0.500
```



(6)
Here is a relaxed PmTiZn crystal from Alexandria via LeMat-Bulk. Energies are from PBE-GGA.

The volume comes out at 64.65 Å³/cell. Its space-group type is I4mm (107). The value obtained for the density of states at the Fermi level is 1.57 states/eV per cell. As for the formation enthalpy at 0 K: -13 meV per atom.

```
data_PmTiZn
_space_group_name_H-M_alt 'P 1'
_space_group_IT_number 1
_cell_length_a 6.380
_cell_length_b 6.380
_cell_length_c 6.380
_cell_angle_alpha 150.02
_cell_angle_beta 150.02
_cell_angle_gamma 42.91
loop_
_space_group_symop_operation_xyz
'x,y,z'
loop_
_atom_site_label
_atom_site_type_symbol
_atom_site_fract_x
_atom_site_fract_y
_atom_site_fract_z
Pm1 Pm 0.000 0.000 0.000
Ti1 Ti 0.312 0.312 0.000
Zn1 Zn 0.691 0.691 0.000
```



(7)
Here is a relaxed Pm2TiZn crystal from Alexandria via LeMat-Bulk. Energies are from PBE-GGA.

The volume comes out at 104.26 Å³/cell. For the energy above the most stable polymorph in this dataset, the calculation gives 378 meV/atom. Its space-group type is R-3m (166). The value obtained for the density of states at the Fermi level is 5.55 states/eV per cell. As for the formation enthalpy at 0 K: 407 meV per atom.

```
data_Pm2TiZn
_space_group_name_H-M_alt 'P 1'
_space_group_IT_number 1
_cell_length_a 11.184
_cell_length_b 11.184
_cell_length_c 11.184
_cell_angle_alpha 17.00
_cell_angle_beta 17.00
_cell_angle_gamma 17.00
loop_
_space_group_symop_operation_xyz
'x,y,z'
loop_
_atom_site_label
_atom_site_type_symbol
_atom_site_fract_x
_atom_site_fract_y
_atom_site_fract_z
Pm1 Pm 0.091 0.091 0.091
Pm2 Pm 0.909 0.909 0.909
Ti1 Ti 0.000 0.000 0.000
Zn1 Zn 0.500 0.500 0.500
```



(8)
Here is a relaxed Pm2TiZn crystal from Alexandria via LeMat-Bulk. Energies are from PBE-GGA.

The volume comes out at 99.51 Å³/cell. For the energy above the most stable polymorph in this dataset, the calculation gives 0 meV/atom. Its space-group type is P4/mmm (123). The value obtained for the density of states at the Fermi level is 4.33 states/eV per cell. As for the formation enthalpy at 0 K: 29 meV per atom.

```
data_Pm2TiZn
_space_group_name_H-M_alt 'P 1'
_space_group_IT_number 1
_cell_length_a 3.439
_cell_length_b 3.439
_cell_length_c 8.415
_cell_angle_alpha 90.00
_cell_angle_beta 90.00
_cell_angle_gamma 90.00
loop_
_space_group_symop_operation_xyz
'x,y,z'
loop_
_atom_site_label
_atom_site_type_symbol
_atom_site_fract_x
_atom_site_fract_y
_atom_site_fract_z
Pm1 Pm 0.000 0.000 0.242
Pm2 Pm 0.000 0.000 0.758
Ti1 Ti 0.500 0.500 0.500
Zn1 Zn 0.500 0.500 0.000
```